1.
Below is a relaxed TbAlZn4 crystal, with properties calculated at the GGA-PBE level.

```
data_TbAlZn4
_chemical_formula_sum 'Tb4 Al4 Zn16'
_symmetry_space_group_name_H-M 'F -4 3 m'
_symmetry_Int_Tables_number 216
_symmetry_space_group_name_Hall 'F -4 2 3'
_cell_length_a 7.5505
_cell_length_b 7.5505
_cell_length_c 7.5505
_cell_angle_alpha 90.00
_cell_angle_beta 90.00
_cell_angle_gamma 90.00
loop_
_atom_site_label
_atom_site_fract_x
_atom_site_fract_y
_atom_site_fract_z
_atom_site_occupancy
Tb1 0.0000 0.0000 0.0000 1
Al1 0.2500 0.2500 0.2500 1
Zn1 0.1251 0.1251 0.6251 1
```

total magnetization	0.000	μB per cell
E_form	-0.126	eV per atom
energy above the lowest structure with this stoichiometry	0.0000	eV per atom
final energy	-56.89	eV/cell

=====

2.
Below is a relaxed TmPS crystal, with properties calculated at the GGA-PBE level.

```
data_TmPS
_chemical_formula_sum 'Tm4 P4 S4'
_symmetry_space_group_name_H-M 'P n m a'
_symmetry_Int_Tables_number 62
_cell_length_a 6.9024
_cell_length_b 3.6211
_cell_length_c 9.1028
_cell_angle_alpha 90.00
_cell_angle_beta 90.00
_cell_angle_gamma 90.00
loop_
_symmetry_equiv_pos_as_xyz
'x,y,z'
'-x,-y,-z'
'-x+1/2,-y,z+1/2'
'x+1/2,y,-z+1/2'
'x+1/2,-y+1/2,-z+1/2'
'-x+1/2,y+1/2,z+1/2'
'-x,y+1/2,-z'
'x,-y+1/2,z'
loop_
_atom_site_label
_atom_site_fract_x
_atom_site_fract_y
_atom_site_fract_z
_atom_site_occupancy
Tm1 0.2089 0.2500 0.1612 1
P1 0.0918 0.2500 0.4618 1
S1 0.0893 0.2500 0.8459 1
```

total magnetization	0.000	μB per cell
formation energy without anion corrections	-1.4917	eV per atom
final energy	-73.94	eV/cell